[1]
Compound: Y2HgH
Source: the Alexandria database
Functional: GGA-PBE
Structure: optimized geometry

Geometry as POSCAR:
```
Y2HgH
1.0
1.832 1.058 7.492
-1.832 1.058 7.492
0.000 -2.116 7.492
Y Hg H
2 1 1
Direct
0.227 0.227 0.227 Y
0.773 0.773 0.773 Y
0.000 0.000 0.000 Hg
0.500 0.500 0.500 H
```

Calculated values
The value obtained for the density of states at the Fermi level is 3.451 states/eV per cell. The calculation puts the size of the total moment at 0.00 μB/f.u. The calculated total energy comes out at -4.49 eV per atom.



[2]
Compound: Mg3Sb
Source: the Alexandria database
Functional: GGA-PBE
Structure: optimized geometry

Geometry as POSCAR:
```
Mg3Sb
1.0
0.000 3.648 3.648
3.648 0.000 3.648
3.648 3.648 0.000
Mg Sb
3 1
Direct
0.000 0.000 0.000 Mg
0.250 0.250 0.250 Mg
0.750 0.750 0.750 Mg
0.500 0.500 0.500 Sb
```

Calculated values
The value obtained for the density of states at the Fermi level is 3.146 states/eV per cell. Its uncorrected formation energy is -0.020 eV per atom. The calculation puts the size of the total moment at 0.00 μB/f.u. The calculated total energy comes out at -2.25 eV per atom.



[3]
Compound: Co2RuBr
Source: the Alexandria database
Functional: GGA-PBE
Structure: optimized geometry

Geometry as POSCAR:
```
Co2RuBr
1.0
0.000 3.034 3.034
3.034 0.000 3.034
3.034 3.034 0.000
Co Ru Br
2 1 1
Direct
0.000 0.000 0.000 Co
0.250 0.250 0.250 Co
0.750 0.750 0.750 Ru
0.500 0.500 0.500 Br
```

Calculated values
The value obtained for the density of states at the Fermi level is 5.804 states/eV per cell. Its uncorrected formation energy is 0.916 eV per atom. The calculation puts the size of the total moment at 4.29 μB/f.u. The calculated total energy comes out at -5.37 eV per atom.



[4]
Compound: Sr2SbTe2
Source: the Alexandria database
Functional: GGA-PBE
Structure: optimized geometry

Geometry as POSCAR:
```
Sr2SbTe2
1.0
8.894 0.000 0.000
0.000 8.894 0.000
0.000 0.000 4.366
Sr Sb Te
4 2 4
Direct
0.157 0.343 0.000 Sr
0.343 0.843 0.000 Sr
0.657 0.157 0.000 Sr
0.843 0.657 0.000 Sr
0.000 0.000 0.500 Sb
0.500 0.500 0.500 Sb
0.152 0.652 0.500 Te
0.348 0.152 0.500 Te
0.652 0.848 0.500 Te
0.848 0.348 0.500 Te
```

Calculated values
The value obtained for the density of states at the Fermi level is 6.021 states/eV per cell. Its uncorrected formation energy is -1.037 eV per atom. The calculation puts the size of the total moment at 0.00 μB/f.u. The calculated total energy comes out at -3.79 eV per atom.



[5]
Compound: InTcS
Source: the Alexandria database
Functional: GGA-PBE
Structure: optimized geometry

Geometry as POSCAR:
```
InTcS
1.0
5.923 -1.542 0.000
5.923 1.542 0.000
-5.837 0.000 6.537
In Tc S
2 2 2
Direct
0.115 0.115 0.297 In
0.885 0.885 0.703 In
0.349 0.349 0.003 Tc
0.651 0.651 0.997 Tc
0.327 0.327 0.247 S
0.673 0.673 0.753 S
```

Calculated values
The value obtained for the density of states at the Fermi level is 1.356 states/eV per cell. Its uncorrected formation energy is -0.224 eV per atom. The calculation puts the size of the total moment at 0.00 μB/f.u. The calculated total energy comes out at -5.97 eV per atom.



[6]
Compound: Cs2MoBr6
Source: the Alexandria database
Functional: GGA-PBE
Structure: optimized geometry

Geometry as POSCAR:
```
Cs2MoBr6
1.0
0.000 5.518 5.518
5.518 0.000 5.518
5.518 5.518 0.000
Cs Mo Br
2 1 6
Direct
0.250 0.250 0.250 Cs
0.750 0.750 0.750 Cs
0.000 0.000 0.000 Mo
0.233 0.233 0.767 Br
0.233 0.767 0.233 Br
0.233 0.767 0.767 Br
0.767 0.233 0.233 Br
0.767 0.233 0.767 Br
0.767 0.767 0.233 Br
```

Calculated values
The value obtained for the density of states at the Fermi level is 8.672 states/eV per cell. Its uncorrected formation energy is -1.150 eV per atom. The calculation puts the size of the total moment at 2.00 μB/f.u. The calculated total energy comes out at -3.66 eV per atom.



[7]
Compound: Tb8Nd3Er2
Source: the Alexandria database
Functional: GGA-PBE
Structure: optimized geometry

Geometry as POSCAR:
```
Tb8Nd3Er2
1.0
10.030 -3.866 0.000
10.030 3.866 0.000
-0.005 0.000 5.679
Tb Nd Er
8 3 2
Direct
0.100 0.682 0.000 Tb
0.173 0.173 0.501 Tb
0.318 0.900 0.000 Tb
0.364 0.364 0.501 Tb
0.636 0.636 0.499 Tb
0.682 0.100 0.000 Tb
0.827 0.827 0.499 Tb
0.900 0.318 0.000 Tb
0.208 0.792 0.500 Nd
0.500 0.500 0.000 Nd
0.792 0.208 0.500 Nd
0.259 0.259 0.002 Er
0.741 0.741 0.998 Er
```

Calculated values
The value obtained for the density of states at the Fermi level is 20.899 states/eV per cell. The calculation puts the size of the total moment at 0.00 μB/f.u. The calculated total energy comes out at -4.41 eV per atom.



[8]
Compound: Hf5Zn2H2
Source: the Alexandria database
Functional: GGA-PBE
Structure: optimized geometry

Geometry as POSCAR:
```
Hf5Zn2H2
1.0
-7.427 3.539 2.868
7.427 -3.539 2.868
7.427 3.539 -2.868
Hf Zn H
10 4 4
Direct
0.063 0.975 0.587 Hf
0.248 0.038 0.287 Hf
0.248 0.462 0.710 Hf
0.388 0.475 0.413 Hf
0.697 0.108 0.292 Hf
0.697 0.905 0.089 Hf
0.752 0.538 0.290 Hf
0.752 0.962 0.713 Hf
0.816 0.405 0.708 Hf
0.816 0.608 0.911 Hf
0.188 0.352 0.032 Zn
0.188 0.656 0.335 Zn
0.320 0.156 0.968 Zn
0.320 0.852 0.665 Zn
0.504 0.328 0.675 H
0.653 0.828 0.325 H
0.757 0.257 0.500 H
0.757 0.757 0.000 H
```

Calculated values
The value obtained for the density of states at the Fermi level is 16.428 states/eV per cell. The calculation puts the size of the total moment at 0.00 μB/f.u. The calculated total energy comes out at -6.59 eV per atom.



[9]
Compound: Li2FeAs
Source: the Alexandria database
Functional: GGA-PBE
Structure: optimized geometry

Geometry as POSCAR:
```
Li2FeAs
1.0
3.073 0.000 0.000
0.000 3.073 0.000
0.000 0.000 5.913
Li Fe As
2 1 1
Direct
0.000 0.000 0.000 Li
0.500 0.500 0.292 Li
0.500 0.500 0.742 Fe
0.000 0.000 0.565 As
```

Calculated values
The value obtained for the density of states at the Fermi level is 2.301 states/eV per cell. The calculation puts the size of the total moment at 0.69 μB/f.u. The calculated total energy comes out at -4.36 eV per atom.



[10]
Compound: PbBrO4
Source: the Alexandria database
Functional: GGA-PBE
Structure: optimized geometry

Geometry as POSCAR:
```
PbBrO4
1.0
5.119 0.000 0.000
0.000 5.431 0.000
-0.816 0.000 5.914
Pb Br O
2 2 8
Direct
0.000 0.000 0.000 Pb
0.000 0.500 0.500 Pb
0.500 0.000 0.500 Br
0.500 0.500 0.000 Br
0.180 0.170 0.341 O
0.180 0.330 0.841 O
0.333 0.700 0.400 O
0.333 0.800 0.900 O
0.667 0.200 0.100 O
0.667 0.300 0.600 O
0.820 0.670 0.159 O
0.820 0.830 0.659 O
```

Calculated values
The value obtained for the density of states at the Fermi level is 8.188 states/eV per cell. Its uncorrected formation energy is -0.034 eV per atom. The calculation puts the size of the total moment at 0.00 μB/f.u. The calculated total energy comes out at -4.24 eV per atom.



[11]
Compound: SnTe2AuI
Source: the Alexandria database
Functional: GGA-PBE
Structure: optimized geometry

Geometry as POSCAR:
```
SnTe2AuI
1.0
5.513 0.000 0.000
0.000 5.513 0.000
0.000 0.000 5.518
Sn Te Au I
1 2 1 1
Direct
0.000 0.000 0.000 Sn
0.000 0.500 0.500 Te
0.500 0.000 0.500 Te
0.500 0.500 0.500 Au
0.500 0.500 0.000 I
```

Calculated values
The value obtained for the density of states at the Fermi level is 3.782 states/eV per cell. Its uncorrected formation energy is 0.262 eV per atom. The calculation puts the size of the total moment at 0.00 μB/f.u. The calculated total energy comes out at -2.76 eV per atom.



[12]
Compound: HoTh4Ge5
Source: the Alexandria database
Functional: GGA-PBE
Structure: optimized geometry

Geometry as POSCAR:
```
HoTh4Ge5
1.0
-2.134 3.024 10.668
2.134 -3.024 10.668
2.134 3.024 -10.668
Ho Th Ge
1 4 5
Direct
0.000 0.000 0.000 Ho
0.198 0.198 0.000 Th
0.401 0.401 0.000 Th
0.599 0.599 0.000 Th
0.802 0.802 0.000 Th
0.097 0.597 0.500 Ge
0.300 0.800 0.500 Ge
0.500 0.000 0.500 Ge
0.700 0.200 0.500 Ge
0.903 0.403 0.500 Ge
```

Calculated values
The value obtained for the density of states at the Fermi level is 4.319 states/eV per cell. The calculation puts the size of the total moment at 0.00 μB/f.u. The calculated total energy comes out at -6.49 eV per atom.



[13]
Compound: SrDyHo2Se4
Source: the Alexandria database
Functional: GGA-PBE
Structure: optimized geometry

Geometry as POSCAR:
```
SrDyHo2Se4
1.0
7.184 0.000 0.000
0.000 4.118 0.000
-2.347 0.000 6.791
Sr Dy Ho Se
1 1 2 4
Direct
0.000 0.000 0.000 Sr
0.000 0.500 0.500 Dy
0.500 0.000 0.500 Ho
0.500 0.500 0.000 Ho
0.257 0.000 0.745 Se
0.263 0.500 0.262 Se
0.737 0.500 0.738 Se
0.743 0.000 0.255 Se
```

Calculated values
The value obtained for the density of states at the Fermi level is 2.946 states/eV per cell. Its uncorrected formation energy is -1.781 eV per atom. The calculation puts the size of the total moment at 0.00 μB/f.u. The calculated total energy comes out at -5.45 eV per atom.



[14]
Compound: Li2Ag5Sn2
Source: the Alexandria database
Functional: GGA-PBE
Structure: optimized geometry

Geometry as POSCAR:
```
Li2Ag5Sn2
1.0
-2.852 8.045 3.748
2.852 -8.045 3.748
2.852 8.045 -3.748
Li Ag Sn
4 10 4
Direct
0.174 0.136 0.038 Li
0.402 0.864 0.538 Li
0.598 0.136 0.462 Li
0.826 0.864 0.962 Li
0.140 0.000 0.640 Ag
0.140 0.500 0.140 Ag
0.206 0.956 0.250 Ag
0.412 0.000 0.912 Ag
0.412 0.500 0.412 Ag
0.588 0.000 0.088 Ag
0.588 0.500 0.588 Ag
0.794 0.044 0.750 Ag
0.860 0.000 0.360 Ag
0.860 0.500 0.860 Ag
0.000 0.500 0.500 Sn
0.199 0.449 0.750 Sn
0.500 0.500 0.000 Sn
0.801 0.551 0.250 Sn
```

Calculated values
The value obtained for the density of states at the Fermi level is 4.006 states/eV per cell. The calculation puts the size of the total moment at 0.00 μB/f.u. The calculated total energy comes out at -2.95 eV per atom.



[15]
Compound: AlCdBr2
Source: the Alexandria database
Functional: GGA-PBE
Structure: optimized geometry

Geometry as POSCAR:
```
AlCdBr2
1.0
1.910 1.103 8.894
-1.910 1.103 8.894
0.000 -2.205 8.894
Al Cd Br
1 1 2
Direct
0.000 0.000 0.000 Al
0.263 0.263 0.263 Cd
0.530 0.530 0.530 Br
0.728 0.728 0.728 Br
```

Calculated values
The value obtained for the density of states at the Fermi level is 0.390 states/eV per cell. Its uncorrected formation energy is -0.472 eV per atom. The calculation puts the size of the total moment at 0.00 μB/f.u. The calculated total energy comes out at -2.47 eV per atom.



[16]
Compound: KCd2In4Sn
Source: the Alexandria database
Functional: GGA-PBE
Structure: optimized geometry

Geometry as POSCAR:
```
KCd2In4Sn
1.0
2.630 1.519 10.128
-2.630 1.519 10.128
0.000 -3.037 10.128
K Cd In Sn
1 2 4 1
Direct
0.000 0.000 0.000 K
0.243 0.243 0.243 Cd
0.757 0.757 0.757 Cd
0.129 0.129 0.129 In
0.401 0.401 0.401 In
0.599 0.599 0.599 In
0.871 0.871 0.871 In
0.500 0.500 0.500 Sn
```

Calculated values
The value obtained for the density of states at the Fermi level is 2.914 states/eV per cell. The calculation puts the size of the total moment at 0.00 μB/f.u. The calculated total energy comes out at -2.26 eV per atom.